Computed, not measured: a relaxed PaInIrRu crystal at the GGA-PBE level of DFT.

energy of formation = -0.391 eV per atom

a = 4.764 Å, b = 4.764 Å, c = 4.764 Å
α = 60.00°, β = 60.00°, γ = 60.00°
Positions (direct):
1 Pa 0.000 0.000 0.000
2 In 0.500 0.500 0.500
3 Ir 0.750 0.750 0.750
4 Ru 0.250 0.250 0.250

---

Computed, not measured: a relaxed InBr2Cl crystal at the GGA-PBE level of DFT.

energy above the most stable polymorph in this dataset = 0.6738 eV/atom

a = 3.509 Å, b = 3.509 Å, c = 9.433 Å
α = 90.00°, β = 90.00°, γ = 91.19°
Positions (direct):
1 In 0.000 0.000 0.000
2 Br 0.000 0.000 0.502
3 Br 0.500 0.500 0.183
4 Cl 0.500 0.500 0.836

---

Computed, not measured: a relaxed Pu3GaNi8 crystal at the GGA-PBE level of DFT.

energy of formation = -0.275 eV per atom

a = 8.596 Å, b = 8.596 Å, c = 8.596 Å
α = 33.64°, β = 33.64°, γ = 33.64°
Positions (direct):
1 Pu 0.000 0.000 0.000
2 Pu 0.126 0.126 0.126
3 Pu 0.623 0.623 0.623
4 Ga 0.498 0.498 0.498
5 Ni 0.060 0.060 0.560
6 Ni 0.060 0.560 0.060
7 Ni 0.067 0.563 0.563
8 Ni 0.312 0.312 0.312
9 Ni 0.560 0.060 0.060
10 Ni 0.563 0.067 0.563
11 Ni 0.563 0.563 0.067
12 Ni 0.812 0.812 0.812

---

Computed, not measured: a relaxed DyTlCdPb crystal at the GGA-PBE level of DFT.

energy of formation = -0.117 eV per atom
energy above the most stable polymorph in this dataset = 0.1695 eV/atom

a = 5.371 Å, b = 5.371 Å, c = 5.371 Å
α = 60.00°, β = 60.00°, γ = 60.00°
Positions (direct):
1 Dy 0.000 0.000 0.000
2 Tl 0.750 0.750 0.750
3 Cd 0.500 0.500 0.500
4 Pb 0.250 0.250 0.250

---

Computed, not measured: a relaxed KTlB2F8 crystal at the GGA-PBE level of DFT.

a = 5.306 Å, b = 5.306 Å, c = 8.601 Å
α = 90.00°, β = 90.00°, γ = 120.00°
Positions (direct):
1 K 0.000 0.000 0.000
2 Tl 0.000 0.000 0.500
3 B 0.333 0.667 0.269
4 B 0.667 0.333 0.731
5 F 0.100 0.399 0.214
6 F 0.299 0.900 0.214
7 F 0.333 0.667 0.434
8 F 0.399 0.299 0.786
9 F 0.601 0.701 0.214
10 F 0.667 0.333 0.566
11 F 0.701 0.100 0.786
12 F 0.900 0.601 0.786

---

Computed, not measured: a relaxed ReBi3Sb crystal at the GGA-PBE level of DFT.

energy above the most stable polymorph in this dataset = 0.0000 eV/atom

a = 5.336 Å, b = 5.336 Å, c = 5.336 Å
α = 90.00°, β = 90.00°, γ = 90.00°
Positions (direct):
1 Re 0.000 0.000 0.000
2 Bi 0.000 0.000 0.500
3 Bi 0.000 0.500 0.000
4 Bi 0.500 0.000 0.000
5 Sb 0.500 0.500 0.500

---

Computed, not measured: a relaxed Ac3Al4Ir4 crystal at the GGA-PBE level of DFT.

energy of formation = -0.677 eV per atom
energy above the most stable polymorph in this dataset = 0.0372 eV/atom

a = 6.831 Å, b = 6.831 Å, c = 6.831 Å
α = 109.47°, β = 109.47°, γ = 109.47°
Positions (direct):
1 Ac 0.000 0.500 0.500
2 Ac 0.500 0.000 0.500
3 Ac 0.500 0.500 0.000
4 Al 0.000 0.000 0.254
5 Al 0.000 0.254 0.000
6 Al 0.254 0.000 0.000
7 Al 0.746 0.746 0.746
8 Ir 0.000 0.000 0.623
9 Ir 0.000 0.623 0.000
10 Ir 0.377 0.377 0.377
11 Ir 0.623 0.000 0.000

---

Computed, not measured: a relaxed BeIr3 crystal at the GGA-PBE level of DFT.

energy of formation = -0.232 eV per atom

a = 2.773 Å, b = 2.773 Å, c = 6.657 Å
α = 90.00°, β = 90.00°, γ = 90.00°
Positions (direct):
1 Be 0.000 0.000 0.000
2 Ir 0.000 0.000 0.500
3 Ir 0.500 0.500 0.210
4 Ir 0.500 0.500 0.790

---

Computed, not measured: a relaxed Zr2WAu crystal at the GGA-PBE level of DFT.

energy of formation = -0.242 eV per atom
energy above the most stable polymorph in this dataset = 0.0000 eV/atom

a = 3.426 Å, b = 3.426 Å, c = 6.668 Å
α = 90.00°, β = 90.00°, γ = 90.00°
Positions (direct):
1 Zr 0.000 0.000 0.236
2 Zr 0.000 0.000 0.764
3 W 0.500 0.500 0.000
4 Au 0.500 0.500 0.500

---

Computed, not measured: a relaxed La2NdYTm crystal at the GGA-PBE level of DFT.

energy of formation = 0.323 eV per atom

a = 7.321 Å, b = 7.321 Å, c = 6.910 Å
α = 90.00°, β = 90.00°, γ = 81.26°
Positions (direct):
1 La 0.249 0.249 0.000
2 La 0.249 0.249 0.500
3 La 0.751 0.751 0.000
4 La 0.751 0.751 0.500
5 Nd 0.398 0.602 0.750
6 Nd 0.602 0.398 0.250
7 Y 0.248 0.752 0.250
8 Y 0.752 0.248 0.750
9 Tm 0.086 0.914 0.750
10 Tm 0.914 0.086 0.250

---

Computed, not measured: a relaxed Ta3Zn2Bi3O14 crystal at the GGA-PBE level of DFT.

a = 7.317 Å, b = 7.317 Å, c = 7.317 Å
α = 62.26°, β = 62.26°, γ = 62.26°
Positions (direct):
1 Ta 0.000 0.500 0.500
2 Ta 0.500 0.000 0.500
3 Ta 0.500 0.500 0.000
4 Zn 0.000 0.000 0.000
5 Zn 0.500 0.500 0.500
6 Bi 0.000 0.000 0.500
7 Bi 0.000 0.500 0.000
8 Bi 0.500 0.000 0.000
9 O 0.107 0.107 0.107
10 O 0.147 0.595 0.595
11 O 0.191 0.191 0.571
12 O 0.191 0.571 0.191
13 O 0.405 0.405 0.853
14 O 0.405 0.853 0.405
15 O 0.429 0.809 0.809
16 O 0.571 0.191 0.191
17 O 0.595 0.147 0.595
18 O 0.595 0.595 0.147
19 O 0.809 0.429 0.809
20 O 0.809 0.809 0.429
21 O 0.853 0.405 0.405
22 O 0.893 0.893 0.893

---

Computed, not measured: a relaxed Nd2HoCu6 crystal at the GGA-PBE level of DFT.

energy of formation = -0.226 eV per atom

a = 7.385 Å, b = 7.385 Å, c = 3.690 Å
α = 90.00°, β = 90.00°, γ = 120.00°
Positions (direct):
1 Nd 0.333 0.667 0.000
2 Nd 0.667 0.333 0.000
3 Ho 0.000 0.000 0.000
4 Cu 0.000 0.331 0.500
5 Cu 0.000 0.669 0.500
6 Cu 0.331 0.000 0.500
7 Cu 0.331 0.331 0.500
8 Cu 0.669 0.000 0.500
9 Cu 0.669 0.669 0.500

---

no.,size of the total moment (μB per formula unit),uncorrected energy (eV for the cell shown)
1,0.01,-31.94
2,0.49,-8.88
3,14.88,-95.58
4,0.00,-12.06
5,0.00,-65.64
6,0.00,-24.62
7,0.00,-70.18
8,0.00,-31.24
9,0.00,-34.30
10,0.00,-47.88
11,0.00,-164.08
12,0.00,-40.73